Record 1
{"formula": "HgMoBr2", "functional": "PBE", "state": "optimized geometry", "m_tot_mub_per_cell": 4.000, "spacegroup": "No. 10", "de_polymorph_mev_per_atom": 116, "vol_a3_per_cell": 151, "formation_energy_uncorrected_ev_per_atom": 0.0805, "cell": [[-1.437, -3.452, 0.487], [3.314, -1.677, -2.105], [5.855, -1.406, 7.318]], "species": ["Mo", "Hg", "Br", "Br"], "frac_coords": [[0.500, 0.750, 0.750], [0.500, 0.250, 0.250], [0.000, 0.882, 0.923], [0.000, 0.618, 0.577]]}



Record 2
{"formula": "DyAg2Hg", "functional": "PBE", "state": "optimized geometry", "m_tot_mub_per_cell": 0.000, "spacegroup": "No. 123", "total_energy_ev_per_atom": -2.83, "vol_a3_per_cell": 89, "cell": [[-0.040, 3.484, 1.277], [-3.623, 0.238, -0.763], [-1.396, -2.194, 5.943]], "species": ["Hg", "Ag", "Ag", "Dy"], "frac_coords": [[0.500, 0.500, 0.500], [0.000, 0.000, 0.746], [0.000, 0.000, 0.254], [0.500, 0.500, 0.000]]}



Record 3
{"formula": "NbSi3Ge", "functional": "PBE", "state": "optimized geometry", "m_tot_mub_per_cell": 0.001, "spacegroup": "No. 221", "de_polymorph_mev_per_atom": 501, "vol_a3_per_cell": 99, "formation_energy_uncorrected_ev_per_atom": 1.3168, "cell": [[-0.947, -4.485, 0.652], [4.531, -0.926, 0.214], [-0.077, 0.682, 4.579]], "species": ["Nb", "Si", "Si", "Si", "Ge"], "frac_coords": [[0.500, 0.500, 0.500], [0.000, 0.500, 0.000], [0.000, 0.000, 0.500], [0.500, 0.000, 0.000], [0.000, 0.000, 0.000]]}



Record 4
{"formula": "KTe2Os", "functional": "PBE", "state": "optimized geometry", "m_tot_mub_per_cell": 0.000, "spacegroup": "No. 10", "de_polymorph_mev_per_atom": 270, "vol_a3_per_cell": 109, "formation_energy_uncorrected_ev_per_atom": 0.1023, "cell": [[-1.664, -2.009, -3.150], [-2.144, -1.427, 2.043], [-5.233, 6.129, -1.143]], "species": ["K", "Os", "Te", "Te"], "frac_coords": [[0.500, 0.250, 0.250], [0.500, 0.750, 0.750], [0.000, 0.754, 0.954], [0.000, 0.746, 0.546]]}



Record 5
{"formula": "Tm2NpScO8", "functional": "PBE", "state": "optimized geometry", "m_tot_mub_per_cell": 0.000, "spacegroup": "No. 65", "vol_a3_per_cell": 168, "formation_energy_uncorrected_ev_per_atom": -3.1932, "cell": [[-0.072, 0.913, 4.892], [1.942, -4.523, 0.708], [6.243, 2.618, -0.396]], "species": ["Tm", "Tm", "Np", "Sc", "O", "O", "O", "O", "O", "O", "O", "O"], "frac_coords": [[0.500, 0.500, 0.737], [0.500, 0.500, 0.263], [0.000, 0.000, 0.000], [0.000, 0.000, 0.500], [0.183, 0.818, 0.233], [0.710, 0.710, 0.000], [0.818, 0.183, 0.233], [0.817, 0.182, 0.767], [0.290, 0.290, 0.000], [0.182, 0.817, 0.767], [0.704, 0.704, 0.500], [0.296, 0.296, 0.500]]}



Record 6
{"formula": "NaV2As", "functional": "PBE", "state": "optimized geometry", "m_tot_mub_per_cell": 0.000, "spacegroup": "No. 141", "total_energy_ev_per_atom": -5.53, "vol_a3_per_cell": 166, "cell": [[4.266, 0.000, 0.000], [0.000, 4.266, 0.000], [2.133, 2.133, 9.134]], "species": ["Na", "Na", "As", "As", "V", "V", "V", "V"], "frac_coords": [[0.500, 0.500, 0.000], [0.250, 0.750, 0.500], [0.000, 0.000, 0.000], [0.750, 0.250, 0.500], [0.875, 0.125, 0.250], [0.875, 0.625, 0.250], [0.375, 0.125, 0.750], [0.875, 0.125, 0.750]]}